Entry from the Alexandria database: a relaxed NaMnTlCl4 crystal (PBE).

Lattice parameters (Å, degrees): 6.974 7.193 8.587 90.00 106.95 90.00
Sites, in units of the cell vectors:
Na 0.213 0.250 0.054
Na 0.787 0.750 0.946
Mn 0.244 0.750 0.827
Mn 0.756 0.250 0.173
Tl 0.247 0.250 0.560
Tl 0.753 0.750 0.440
Cl 0.013 0.502 0.782
Cl 0.013 0.998 0.782
Cl 0.442 0.750 0.649
Cl 0.468 0.750 0.089
Cl 0.532 0.250 0.911
Cl 0.558 0.250 0.351
Cl 0.987 0.002 0.218
Cl 0.987 0.498 0.218

Values from the calculation:
Fermi-level density of states: 0.00 states/eV/f.u.
spin magnetization: 0.7143 μB/atom



Entry from the Alexandria database: a relaxed Na2MnTlCl6 crystal (PBE).

Lattice parameters (Å, degrees): 6.901 6.971 7.466 89.99 62.72 62.84
Sites, in units of the cell vectors:
Na 0.000 0.000 0.000
Na 0.025 0.460 0.447
Mn 0.398 0.786 0.410
Tl 0.428 0.278 0.860
Cl 0.215 0.611 0.639
Cl 0.251 0.718 0.206
Cl 0.528 0.004 0.208
Cl 0.531 0.842 0.631
Cl 0.840 0.422 0.199
Cl 0.963 0.162 0.665

Values from the calculation:
Fermi-level density of states: 0.76 states/eV/f.u.
spin magnetization: 0.4000 μB/atom



Uncorrected formation energy readings, ordered: -1.26, -1.29 eV per atom